Density functional theory data (GGA-PBE) for ScGaSCl2 after structural relaxation.

a b c (Å): 5.0498 5.0498 4.9598
angles (deg): 90.00 90.00 90.00
Closest atoms and distances in Å follow each position.
Fractional positions:
Sc1 0.0000 0.0000 0.0000  2 S 2.48, 4 Cl 2.52
S1 0.0000 0.0000 0.5000  2 Sc 2.48
Ga1 0.5000 0.5000 0.5000  8 Cl 3.54, 4 S 3.57
Cl1 0.0000 0.5000 0.0000  2 Sc 2.52
Cl2 0.5000 0.0000 0.0000  2 Sc 2.52

Properties
Uncorrected formation energy: -1310 meV per atom
DOS at the Fermi energy: 0.0 states/eV per cell
Polymorph energy (0 for the lowest one): 0.0 meV per atom
Spin magnetization: 0.0 μB per cell